Density functional theory data (PBE) for a relaxed structure of YSbSe3.

Geometry as POSCAR:
```
YSbSe3
1.0
7.280 0.000 0.000
3.640 6.305 0.001
3.640 2.102 6.483
Y Sb Se
2 2 6
direct
0.352 0.351 0.945
0.648 0.648 0.055
0.841 0.841 0.478
0.159 0.159 0.522
0.750 0.449 0.754
0.047 0.750 0.754
0.449 0.047 0.754
0.250 0.551 0.246
0.953 0.250 0.246
0.551 0.953 0.246
```

As for the energy relative to the lowest polymorph listed for this composition: 0.057 eV/atom. The volume comes out at 29.753 A^3/atom. The formation energy from raw total energies is -1006 meV per atom. The calculation puts the total energy at -5.214 eV/atom.